[1]
First-principles (PBE-GGA) data for a relaxed structure of SrLaZr2, as listed in the Alexandria database.

Properties
Energy relative to the lowest polymorph listed for this composition (eV/f.u.): 0.936
Crystal system: tetragonal
SG: P4/mmm (123)
Formation enthalpy at 0 K (meV per atom): 472

```
4
Lattice="4.8291 0.0000 0.0000 0.0000 4.8326 0.0000 0.0000 0.0000 5.1221" Properties=species:S:1:pos:R:3 pbc="T T T"
Zr 0.0000 0.0000 0.0000
Zr 2.4145 2.4163 0.0000
La 2.4145 0.0000 2.5611
Sr 0.0000 2.4163 2.5611
```

---

[2]
First-principles (PBE-GGA) data for a relaxed structure of Pa3S3N2, as listed in the Alexandria database.

Properties
E_form (uncorrected) (eV per atom): -1.696
Crystal system: orthorhombic
SG: Immm (71)

```
8
Lattice="-0.8703 2.9269 2.0619 -3.2816 0.4887 -2.0788 -2.8739 -7.6928 6.4151" Properties=species:S:1:pos:R:3 pbc="T T T"
S -3.7748 -4.5642 4.8858
N -2.9383 -1.5632 4.2709
Pa -1.8604 -2.2494 2.4079
S -0.4351 1.4635 1.0309
Pa -1.6408 0.2444 -1.0394
Pa -5.1654 -2.0277 3.9902
S -3.2510 0.2870 1.5124
N -4.0874 -2.7139 2.1273
```

---

[3]
First-principles (PBE-GGA) data for a relaxed structure of TlPtBr2, as listed in the Alexandria database.

Properties
Energy relative to the lowest polymorph listed for this composition (eV/f.u.): 1.475
E_form (uncorrected) (eV per atom): 0.167
Crystal system: monoclinic
SG: C2/m (12)

```
4
Lattice="-2.5231 0.5567 4.6175 -2.3861 -4.4116 -1.6858 0.3482 -4.1857 3.3067" Properties=species:S:1:pos:R:3 pbc="T T T"
Tl -1.0190 -4.2986 0.8105
Br 0.0000 0.0000 0.0000
Br -2.4546 -1.9274 1.4659
Pt -1.0875 -1.8145 3.9621
```

---

[4]
First-principles (PBE-GGA) data for a relaxed structure of TbTm2Bi, as listed in the Alexandria database.

Properties
Energy relative to the lowest polymorph listed for this composition (eV/f.u.): 0.990
Crystal system: trigonal
SG: R3m (160)
Formation enthalpy at 0 K (meV per atom): -176

```
4
Lattice="3.6286 0.0000 0.0000 1.8143 3.1424 0.0000 1.8143 1.0475 10.6752" Properties=species:S:1:pos:R:3 pbc="T T T"
Tb 3.6286 2.0949 5.3443
Tm 1.8143 1.0475 8.1122
Tm 1.8143 1.0475 2.5547
Bi 3.6286 2.0949 0.0015
```

---

What did the first record say?
First-principles (PBE-GGA) data for a relaxed structure of SrLaZr2, as listed in the Alexandria database.

Properties
Energy relative to the lowest polymorph listed for this composition (eV/f.u.): 0.936
Crystal system: tetragonal
SG: P4/mmm (123)
Formation enthalpy at 0 K (meV per atom): 472

```
4
Lattice="4.8291 0.0000 0.0000 0.0000 4.8326 0.0000 0.0000 0.0000 5.1221" Properties=species:S:1:pos:R:3 pbc="T T T"
Zr 0.0000 0.0000 0.0000
Zr 2.4145 2.4163 0.0000
La 2.4145 0.0000 2.5611
Sr 0.0000 2.4163 2.5611
```